This record from Alexandria describes a geometry-optimized KLa2Ru structure. The functional is GGA-PBEsol.

DOS at the Fermi energy = 2.4 states/eV/f.u.
total magnetization = 0.00 μB per atom
energy relative to the lowest polymorph listed for this composition = 0.0 meV/atom
calculated formation energy = -65 meV/atom

The structure in CIF format:
```
data_KLa2Ru
_chemical_formula_sum 'K2 La4 Ru2'
_space_group_name_H-M_alt 'P 1'
_space_group_IT_number 1
_cell_length_a 7.1461
_cell_length_b 4.1277
_cell_length_c 10.6398
_cell_angle_alpha 90.00
_cell_angle_beta 103.03
_cell_angle_gamma 90.00
loop_
_space_group_symop_operation_xyz
'x,y,z'
loop_
_atom_site_label
_atom_site_type_symbol
_atom_site_fract_x
_atom_site_fract_y
_atom_site_fract_z
K1 K 0.0000 0.0000 0.0000
K2 K 0.5000 0.5000 0.0000
La1 La 0.2142 0.0000 0.6415
La2 La 0.2858 0.5000 0.3585
La3 La 0.7142 0.5000 0.6415
La4 La 0.7858 0.0000 0.3585
Ru1 Ru 0.0000 0.5000 0.5000
Ru2 Ru 0.5000 0.0000 0.5000
```